# PrNd2Sm5

PrNd2Sm5 after structural relaxation (GGA-PBE, the Alexandria database).

abc: 7.305 14.614 5.163
angles: 90.00 90.00 90.00
Space group Pbam (No. 55)
Unique sites:
Pr1 0.000 0.000 0.000
Nd1 0.249 0.374 0.500
Sm1 0.000 0.500 0.000
Sm2 0.001 0.749 0.000
Sm3 0.250 0.126 0.500

Calculated values
The value obtained for the formation energy is 0.01 eV per atom. Its density of states at the Fermi level is 25.3 states/eV/cell. The final energy comes out at -4.724 eV per atom.